# Ac3Si3Ni2, optimized geometry, DFT GGA-PBE
# Space group: Cmcm
# E above lowest polymorph in eV per atom: 0.000
# Energy relative to the elements, uncorrected in eV/atom: -0.6018
data_Ac3Si3Ni2
_chemical_formula_sum 'Ac6 Si6 Ni4'
_symmetry_space_group_name_H-M 'P 1'
_symmetry_Int_Tables_number 1
_cell_length_a 6.084
_cell_length_b 6.084
_cell_length_c 15.858
_cell_angle_alpha 90.00
_cell_angle_beta 90.00
_cell_angle_gamma 139.43
loop_
_symmetry_equiv_pos_as_xyz
'x,y,z'
loop_
_atom_site_label
_atom_site_type_symbol
_atom_site_fract_x
_atom_site_fract_y
_atom_site_fract_z
Ac1 Ac 0.055 0.945 0.750
Ac2 Ac 0.348 0.652 0.593
Ac3 Ac 0.348 0.652 0.907
Ac4 Ac 0.652 0.348 0.093
Ac5 Ac 0.652 0.348 0.407
Ac6 Ac 0.945 0.055 0.250
Si1 Si 0.075 0.925 0.554
Si2 Si 0.075 0.925 0.946
Si3 Si 0.240 0.760 0.250
Si4 Si 0.760 0.240 0.750
Si5 Si 0.925 0.075 0.054
Si6 Si 0.925 0.075 0.446
Ni1 Ni 0.366 0.634 0.120
Ni2 Ni 0.366 0.634 0.380
Ni3 Ni 0.634 0.366 0.620
Ni4 Ni 0.634 0.366 0.880